This record from the Alexandria database describes crystalline LuThAlRh at its relaxed geometry. The functional is GGA-PBE.

Lattice parameters (Å, degrees): 7.133 7.133 7.133 90.00 90.00 90.00
Space group F-43m (No. 216)
Symmetry-distinct sites (fractional):
Lu1 0.000 0.000 0.000 [4 per cell]
Th1 0.000 0.000 0.500 [4 per cell]
Al1 0.250 0.250 0.250 [4 per cell]
Rh1 0.250 0.250 0.750 [4 per cell]

Results
- crystal system = cubic
- E_tot (eV per cell) = -99.97



This record from the Alexandria database describes crystalline LuAl2Ru at its relaxed geometry. The functional is GGA-PBE.

Lattice parameters (Å, degrees): 6.439 6.439 6.439 90.00 90.00 90.00
Space group Fm-3m (No. 225)
Symmetry-distinct sites (fractional):
Lu1 0.000 0.000 0.000 [4 per cell]
Al1 0.250 0.250 0.250 [8 per cell]
Ru1 0.000 0.000 0.500 [4 per cell]

Results
- crystal system = cubic
- E_tot (eV per cell) = -92.14



The records above give, respectively, density values of 9.83; 8.21 g cm⁻³.